(1)
CaThCd5 (PBE-GGA, optimized geometry); E_tot = -14.11 eV for the cell shown; DFT formation energy = -0.0164 eV/atom; symmetry = No. 123
1.0
4.663 0.000 0.000
0.000 4.663 0.000
0.000 0.000 9.269
Ca Cd Th
1 5 1
Cartesian
2.332 2.332 0.000
2.332 2.332 4.635
0.000 2.332 2.305
2.332 0.000 2.305
0.000 2.332 6.964
2.332 0.000 6.964
0.000 0.000 4.635



(2)
Pm4Te2CBr (PBE-GGA, optimized geometry); formation energy from raw total energies = -1.0629 eV/atom; E_tot = -44.69 eV for the cell shown; symmetry = No. 10
1.0
-3.578 1.097 1.678
-1.689 -7.185 1.096
2.559 -1.953 6.733
Pm C Te Br
4 1 2 1
Cartesian
0.631 -6.501 5.595
-2.197 -5.049 3.628
-0.511 -2.993 5.878
-3.339 -1.541 3.911
0.435 -4.569 3.914
2.559 -1.953 6.733
-0.509 -0.428 4.206
-2.633 -3.044 1.387



(3)
Sm7Ho4Sc (PBE-GGA, optimized geometry); E_tot = -57.48 eV for the cell shown; DFT formation energy = 0.0161 eV/atom; relative energy among the computed polymorphs = 0 kJ/mol of formula units; symmetry = No. 2
1.0
6.409 -1.778 2.715
0.663 5.785 2.213
2.844 -2.231 10.814
Sc Sm Ho
1 7 4
Cartesian
3.507 3.554 13.028
5.137 1.567 3.150
3.204 -0.889 1.358
7.296 1.811 7.679
2.620 -0.035 8.064
4.545 2.440 9.852
4.779 0.209 12.593
5.371 -0.664 5.891
7.758 1.528 11.172
4.114 2.701 6.320
2.157 0.249 4.571
5.802 -0.925 9.423



(4)
Cu2SiBr (PBE-GGA, optimized geometry); formation energy from raw total energies = 0.6781 eV/atom; E_tot = -12.58 eV for the cell shown; relative energy among the computed polymorphs = 291 kJ/mol of formula units; symmetry = No. 139
1.0
-4.489 1.605 -0.960
-1.352 -2.255 -4.091
1.794 -1.877 4.111
Cu Br Si
2 1 1
Cartesian
0.000 0.000 0.000
-2.920 -0.325 -2.526
-2.808 -0.299 0.313
-1.239 -2.228 -1.252



(5)
Ac12Sm3Mg (PBE-GGA, optimized geometry); E_tot = -64.64 eV for the cell shown; DFT formation energy = 0.0256 eV/atom; symmetry = No. 123
1.0
5.487 0.000 0.000
0.000 5.487 0.000
0.000 0.000 22.049
Ac Sm Mg
12 3 1
Cartesian
2.744 0.000 13.797
0.000 2.744 13.797
2.744 2.744 11.024
0.000 2.744 2.729
0.000 2.744 19.320
2.744 0.000 19.320
0.000 2.744 8.252
2.744 0.000 8.252
2.744 2.744 16.568
2.744 2.744 0.000
2.744 2.744 5.481
2.744 0.000 2.729
0.000 0.000 5.471
0.000 0.000 16.578
0.000 0.000 11.024
0.000 0.000 0.000



(6)
Ce2SnRh6 (PBE-GGA, optimized geometry); E_tot = -63.60 eV for the cell shown; DFT formation energy = -0.4023 eV/atom; symmetry = No. 12
1.0
4.564 -0.001 -0.163
-0.001 7.531 0.009
-2.103 -3.759 4.968
Ce Rh Sn
2 6 1
Cartesian
0.115 0.003 3.222
2.345 3.768 1.593
0.058 5.349 1.612
0.178 -2.164 4.885
2.281 5.935 -0.071
2.401 1.590 3.209
0.058 2.181 1.605
2.401 -1.578 3.202
0.000 0.000 0.000



(7)
BaLaCl2 (PBE-GGA, optimized geometry); formation energy from raw total energies = -1.4565 eV/atom; E_tot = -16.37 eV for the cell shown; relative energy among the computed polymorphs = 55 kJ/mol of formula units; symmetry = No. 47
1.0
3.821 0.000 0.000
0.000 7.426 0.000
0.000 0.000 4.840
Cl Ba La
2 1 1
Cartesian
1.911 3.713 0.000
0.000 0.000 0.000
0.000 3.713 2.420
1.911 0.000 2.420



(8)
PmZnGeF (PBE-GGA, optimized geometry); formation energy from raw total energies = -1.6715 eV/atom; E_tot = -38.40 eV for the cell shown; symmetry = No. 129
1.0
-1.412 2.894 2.408
-3.146 0.505 -2.452
-4.488 -5.961 4.532
Pm Ge Zn F
2 2 2 2
Cartesian
-3.010 -1.656 0.225
-3.757 -2.605 4.285
-1.553 0.322 2.060
-5.214 -4.583 2.450
-2.279 1.699 -0.022
0.000 0.000 0.000
-2.244 -2.980 2.266
-4.523 -1.281 2.244



Question: Among the records above, which one has the lowest E_tot?
Answer: Ac12Sm3Mg



Question: Number 4 is which compound?
Answer: Cu2SiBr



Question: The highest E_tot belongs to which entry?
Answer: Cu2SiBr



Repeat the fifth record exactly.
Ac12Sm3Mg (PBE-GGA, optimized geometry); E_tot = -64.64 eV for the cell shown; DFT formation energy = 0.0256 eV/atom; symmetry = No. 123
1.0
5.487 0.000 0.000
0.000 5.487 0.000
0.000 0.000 22.049
Ac Sm Mg
12 3 1
Cartesian
2.744 0.000 13.797
0.000 2.744 13.797
2.744 2.744 11.024
0.000 2.744 2.729
0.000 2.744 19.320
2.744 0.000 19.320
0.000 2.744 8.252
2.744 0.000 8.252
2.744 2.744 16.568
2.744 2.744 0.000
2.744 2.744 5.481
2.744 0.000 2.729
0.000 0.000 5.471
0.000 0.000 16.578
0.000 0.000 11.024
0.000 0.000 0.000